Entry 1:
Ho2ErTmSc4: relaxed, PBE.

It has space group C2/c (No. 15), with a = 12.946 Å, b = 12.630 Å, c = 6.487 Å, α = 90.00°, β = 120.07° and γ = 90.00°. The inequivalent atoms are Ho at (0.000, 0.000, 0.000), Ho at (0.250, 0.250, 0.000), Er at (0.000, 0.500, 0.000), Tm at (0.250, 0.250, 0.500), Sc at (0.000, 0.250, 0.000) and Sc at (0.250, 0.001, 0.503).



Entry 2:
HoErTmSc2: relaxed, PBE.

It has space group Cmcm (No. 63), with a = 3.441 Å, b = 15.629 Å, c = 11.204 Å, α = 90.00°, β = 90.00° and γ = 90.00°. The inequivalent atoms are Ho at (0.000, 0.119, 0.250), Er at (0.000, 0.000, 0.000), Tm at (0.000, 0.175, 0.750) and Sc at (0.000, 0.326, 0.523).



Entry 3:
Ho6ErTm3Sc2: relaxed, PBE.

It has space group C2/m (No. 12), with a = 6.020 Å, b = 10.416 Å, c = 11.474 Å, α = 90.00°, β = 100.05° and γ = 90.00°. The inequivalent atoms are Ho at (0.247, 0.000, 0.246), Ho at (0.250, 0.168, 0.754), Er at (0.000, 0.500, 0.000), Tm at (0.000, 0.000, 0.500), Tm at (0.000, 0.333, 0.500) and Sc at (0.000, 0.167, 0.000).



Entry 4:
Ho3Er6TmSc2: relaxed, PBE.

It has space group C2/m (No. 12), with a = 6.019 Å, b = 10.413 Å, c = 11.481 Å, α = 90.00°, β = 100.04° and γ = 90.00°. The inequivalent atoms are Ho at (0.000, 0.000, 0.000), Ho at (0.000, 0.333, 0.000), Er at (0.247, 0.000, 0.744), Er at (0.250, 0.168, 0.256), Tm at (0.000, 0.500, 0.500) and Sc at (0.000, 0.167, 0.500).



Entry 5:
HoEr4TmSc2: relaxed, PBE.

It has space group P4/mmm (No. 123), with a = 4.883 Å, b = 4.883 Å, c = 9.700 Å, α = 90.00°, β = 90.00° and γ = 90.00°. The inequivalent atoms are Ho at (0.000, 0.000, 0.000), Er at (0.000, 0.500, 0.251), Tm at (0.500, 0.500, 0.500), Sc at (0.000, 0.000, 0.500) and Sc at (0.500, 0.500, 0.000).



Entry 6:
Ho2ErTmSc5: relaxed, PBE.

It has space group Cmc2_1 (No. 36), with a = 5.303 Å, b = 18.461 Å, c = 10.255 Å, α = 90.00°, β = 90.00° and γ = 90.00°. The inequivalent atoms are Ho at (0.000, 0.109, 0.000), Ho at (0.000, 0.112, 0.591), Er at (0.000, 0.417, 0.728), Tm at (0.000, 0.206, 0.279), Sc at (0.000, 0.021, 0.299), Sc at (0.000, 0.286, 0.570), Sc at (0.000, 0.299, 0.979), Sc at (0.000, 0.397, 0.290) and Sc at (0.000, 0.479, 0.003).



Entry 7:
HoEr2TmSc4: relaxed, PBE.

It has space group C2/c (No. 15), with a = 12.940 Å, b = 12.628 Å, c = 6.476 Å, α = 90.00°, β = 120.03° and γ = 90.00°. The inequivalent atoms are Ho at (0.000, 0.000, 0.000), Er at (0.000, 0.500, 0.000), Er at (0.250, 0.250, 0.000), Tm at (0.250, 0.250, 0.500), Sc at (0.000, 0.251, 0.000) and Sc at (0.250, 0.001, 0.502).



Entry 8:
Ho2ErTm6Sc: relaxed, PBE.

It has space group C2/c (No. 15), with a = 8.886 Å, b = 14.632 Å, c = 9.331 Å, α = 90.00°, β = 97.77° and γ = 90.00°. The inequivalent atoms are Ho at (0.249, 0.052, 0.453), Er at (0.000, 0.479, 0.250), Tm at (0.061, 0.311, 0.943), Tm at (0.102, 0.106, 0.117), Tm at (0.210, 0.279, 0.311) and Sc at (0.000, 0.088, 0.750).



Entry 9:
HoEr2TmSc5: relaxed, PBE.

It has space group Cmc2_1 (No. 36), with a = 5.301 Å, b = 18.446 Å, c = 10.265 Å, α = 90.00°, β = 90.00° and γ = 90.00°. The inequivalent atoms are Ho at (0.000, 0.207, 0.000), Er at (0.000, 0.107, 0.724), Er at (0.000, 0.112, 0.314), Tm at (0.000, 0.417, 0.450), Sc at (0.000, 0.021, 0.022), Sc at (0.000, 0.286, 0.290), Sc at (0.000, 0.299, 0.700), Sc at (0.000, 0.398, 0.013) and Sc at (0.000, 0.478, 0.725).



Entry 10:
HoEr2TmSc2: relaxed, PBE.

It has space group Pnnm (No. 58), with a = 6.217 Å, b = 17.168 Å, c = 3.318 Å, α = 90.00°, β = 90.00° and γ = 90.00°. The inequivalent atoms are Ho at (0.000, 0.000, 0.000), Er at (0.225, 0.190, 0.000), Tm at (0.000, 0.500, 0.000) and Sc at (0.223, 0.355, 0.500).



Entry 11:
Ho2ErTm4Sc: relaxed, PBE.

It has space group P4/mmm (No. 123), with a = 4.909 Å, b = 4.909 Å, c = 9.816 Å, α = 90.00°, β = 90.00° and γ = 90.00°. The inequivalent atoms are Ho at (0.000, 0.000, 0.000), Ho at (0.500, 0.500, 0.500), Er at (0.000, 0.000, 0.500), Tm at (0.000, 0.500, 0.246) and Sc at (0.500, 0.500, 0.000).



Entry 12:
HoErTm2Sc5: relaxed, PBE.

It has space group Cmc2_1 (No. 36), with a = 5.299 Å, b = 18.471 Å, c = 10.226 Å, α = 90.00°, β = 90.00° and γ = 90.00°. The inequivalent atoms are Ho at (0.000, 0.207, 0.000), Er at (0.000, 0.417, 0.447), Tm at (0.000, 0.108, 0.722), Tm at (0.000, 0.112, 0.313), Sc at (0.000, 0.021, 0.021), Sc at (0.000, 0.286, 0.291), Sc at (0.000, 0.299, 0.700), Sc at (0.000, 0.398, 0.012) and Sc at (0.000, 0.478, 0.723).



Entry 13:
Ho2ErTmSc: relaxed, PBE.

It has space group Cmcm (No. 63), with a = 8.091 Å, b = 11.082 Å, c = 7.034 Å, α = 90.00°, β = 90.00° and γ = 90.00°. The inequivalent atoms are Ho at (0.197, 0.000, 0.000), Er at (0.000, 0.231, 0.250), Tm at (0.000, 0.229, 0.750) and Sc at (0.000, 0.499, 0.750).



Entry 14:
Ho2Er2TmSc: relaxed, PBE.

It has space group Pnnm (No. 58), with a = 6.477 Å, b = 17.053 Å, c = 3.293 Å, α = 90.00°, β = 90.00° and γ = 90.00°. The inequivalent atoms are Ho at (0.246, 0.148, 0.000), Er at (0.248, 0.323, 0.500), Tm at (0.000, 0.000, 0.500) and Sc at (0.000, 0.500, 0.500).



Entry 15:
HoErTm4Sc2: relaxed, PBE.

It has space group P2/m (No. 10), with a = 5.951 Å, b = 3.439 Å, c = 11.405 Å, α = 90.00°, β = 100.04° and γ = 90.00°. The inequivalent atoms are Ho at (0.000, 0.000, 0.000), Er at (0.000, 0.500, 0.500), Tm at (0.252, 0.000, 0.752), Tm at (0.253, 0.500, 0.253), Sc at (0.500, 0.000, 0.500) and Sc at (0.500, 0.500, 0.000).



Entry 16:
Ho2ErTm2Sc2: relaxed, PBE.

It has space group C2/m (No. 12), with a = 11.187 Å, b = 3.389 Å, c = 11.408 Å, α = 90.00°, β = 108.79° and γ = 90.00°. The inequivalent atoms are Ho at (0.171, 0.000, 0.087), Er at (0.000, 0.500, 0.500), Tm at (0.048, 0.000, 0.769) and Sc at (0.227, 0.500, 0.365).



Entry 17:
Ho3ErTmSc: relaxed, PBE.

It has space group C2/m (No. 12), with a = 21.393 Å, b = 5.392 Å, c = 6.496 Å, α = 90.00°, β = 98.83° and γ = 90.00°. The inequivalent atoms are Ho at (0.024, 0.000, 0.264), Ho at (0.160, 0.500, 0.260), Ho at (0.228, 0.500, 0.811), Er at (0.166, 0.000, 0.538), Tm at (0.073, 0.500, 0.687) and Sc at (0.131, 0.000, 0.970).



Entry 18:
Ho5ErTm2Sc: relaxed, PBE.

It has space group Cmc2_1 (No. 36), with a = 5.472 Å, b = 19.720 Å, c = 10.290 Å, α = 90.00°, β = 90.00° and γ = 90.00°. The inequivalent atoms are Ho at (0.000, 0.017, 0.000), Ho at (0.000, 0.276, 0.302), Ho at (0.000, 0.301, 0.688), Ho at (0.000, 0.378, 0.004), Ho at (0.000, 0.482, 0.723), Er at (0.000, 0.409, 0.439), Tm at (0.000, 0.111, 0.293), Tm at (0.000, 0.114, 0.721) and Sc at (0.000, 0.195, 0.997).



Entry 19:
Ho2Er2TmSc2: relaxed, PBE.

It has space group C2/m (No. 12), with a = 11.194 Å, b = 3.391 Å, c = 11.421 Å, α = 90.00°, β = 108.91° and γ = 90.00°. The inequivalent atoms are Ho at (0.171, 0.000, 0.087), Er at (0.048, 0.000, 0.768), Tm at (0.000, 0.500, 0.500) and Sc at (0.227, 0.500, 0.366).



Entry 20:
HoEr2Tm2Sc2: relaxed, PBE.

It has space group C2/m (No. 12), with a = 11.169 Å, b = 3.386 Å, c = 11.408 Å, α = 90.00°, β = 108.76° and γ = 90.00°. The inequivalent atoms are Ho at (0.000, 0.000, 0.000), Er at (0.171, 0.500, 0.587), Tm at (0.049, 0.500, 0.269) and Sc at (0.227, 0.000, 0.864).



Formation enthalpy at 0 K (computed, eV/f.u.): 3.5, 1.3, 0.5, 0.5, 0.3, 1.5, 3.6, 1.3, 1.5, 1.7, 0.3, 1.5, 1.8, 1.7, 0.3, 0.8, 1.2, 1.5, 0.8, 0.8